A relaxed CaC2I crystal. Source: Alexandria, functional GGA-PBE.

Computed properties:
Crystal system: tetragonal
Energy above the lowest structure with this stoichiometry (meV per atom): 0

Cell lengths 6.097, 6.097, 8.090 Å; angles 90.00, 90.00, 90.00 degrees
Space group I-42d (No. 122)
Asymmetric unit:
Ca (0.000, 0.000, 0.000)
C (0.206, 0.250, 0.625)
I (0.000, 0.000, 0.500)